Compound: YMgSiNi
Source: OQMD via LeMat-Bulk
Functional: PBE
Structure: relaxed

Cell lengths 4.5659, 4.5659, 4.5659 Å; angles 60.00, 60.00, 60.00 degrees
Last column: nearest neighbours and their distance in Å.
Atoms (fractional coordinates):
Ni 0.7500 0.7500 0.7500  4 Y 2.80, 4 Si 2.80
Y 0.5000 0.5000 0.5000  4 Ni 2.80, 4 Mg 2.80
Mg 0.2500 0.2500 0.2500  4 Si 2.80, 4 Y 2.80
Si 0.0000 0.0000 0.0000  4 Ni 2.80, 4 Mg 2.80

E_tot (eV for the cell shown): -19.8

Compound: MgZnSiNi
Source: OQMD via LeMat-Bulk
Functional: PBE
Structure: relaxed

Cell lengths 4.2873, 4.2873, 4.2873 Å; angles 60.00, 60.00, 60.00 degrees
Last column: nearest neighbours and their distance in Å.
Atoms (fractional coordinates):
Mg 0.7500 0.7500 0.7500  4 Zn 2.63, 4 Ni 2.63
Ni 0.5000 0.5000 0.5000  4 Mg 2.63, 4 Si 2.63
Zn 0.0000 0.0000 0.0000  4 Mg 2.63, 4 Si 2.63
Si 0.2500 0.2500 0.2500  4 Ni 2.63, 4 Zn 2.63

E_tot (eV for the cell shown): -14.0

Compound: MgZnSiNi
Source: OQMD via LeMat-Bulk
Functional: PBE
Structure: relaxed

Cell lengths 4.3093, 4.3093, 4.3093 Å; angles 60.00, 60.00, 60.00 degrees
Last column: nearest neighbours and their distance in Å.
Atoms (fractional coordinates):
Ni 0.2500 0.2500 0.2500  4 Si 2.64, 4 Zn 2.64
Mg 0.7500 0.7500 0.7500  4 Si 2.64, 4 Zn 2.64
Zn 0.0000 0.0000 0.0000  4 Ni 2.64, 4 Mg 2.64
Si 0.5000 0.5000 0.5000  4 Ni 2.64, 4 Mg 2.64

E_tot (eV for the cell shown): -14.0